[1]
# Rb2In4BiPb3 | the Alexandria database | PBE-GGA | relaxed
data_Rb2In4BiPb3
_chemical_formula_sum 'Rb2 In4 Bi1 Pb3'
_cell_length_a 5.3327
_cell_length_b 5.3327
_cell_length_c 12.7143
_cell_angle_alpha 90.00
_cell_angle_beta 90.00
_cell_angle_gamma 90.00
_symmetry_space_group_name_H-M 'P 1'
_symmetry_Int_Tables_number 1
_symmetry_space_group_name_Hall 'P 1'
loop_
_atom_site_label
_atom_site_type_symbol
_atom_site_fract_x
_atom_site_fract_y
_atom_site_fract_z
Rb1 Rb 0.0000 0.5000 0.2480
Rb2 Rb 0.5000 0.0000 0.7520
In1 In 0.0000 0.0000 0.0000
In2 In 0.0000 0.5000 0.6329
In3 In 0.5000 0.0000 0.3671
In4 In 0.5000 0.5000 0.0000
Bi1 Bi 0.0000 0.0000 0.5000
Pb1 Pb 0.0000 0.5000 0.8732
Pb2 Pb 0.5000 0.0000 0.1268
Pb3 Pb 0.5000 0.5000 0.5000
# E_form, kJ/mol of atoms: -10.5
# Fermi-level density of states, states/eV/cell: 5.1
# Space group: P-4m2, No. 115

***

[2]
# RbInBiPb | the Alexandria database | PBE-GGA | relaxed
data_RbInBiPb
_chemical_formula_sum 'Rb3 In3 Bi3 Pb3'
_cell_length_a 5.3688
_cell_length_b 5.3688
_cell_length_c 20.1448
_cell_angle_alpha 90.00
_cell_angle_beta 90.00
_cell_angle_gamma 120.00
_symmetry_space_group_name_H-M 'P 1'
_symmetry_Int_Tables_number 1
_symmetry_space_group_name_Hall 'P 1'
loop_
_atom_site_label
_atom_site_type_symbol
_atom_site_fract_x
_atom_site_fract_y
_atom_site_fract_z
Rb1 Rb 0.0000 0.0000 0.0000
Rb2 Rb 0.3333 0.6667 0.6667
Rb3 Rb 0.6667 0.3333 0.3333
In1 In 0.0000 0.0000 0.5332
In2 In 0.3333 0.6667 0.1999
In3 In 0.6667 0.3333 0.8665
Bi1 Bi 0.0000 0.0000 0.7951
Bi2 Bi 0.3333 0.6667 0.4618
Bi3 Bi 0.6667 0.3333 0.1284
Pb1 Pb 0.0000 0.0000 0.1979
Pb2 Pb 0.3333 0.6667 0.8646
Pb3 Pb 0.6667 0.3333 0.5312
# ΔE to the lowest computed polymorph, eV per atom: 0.0000
# E_form, kJ/mol of atoms: -7.6
# Fermi-level density of states, states/eV/cell: 8.3
# Space group: R3m, No. 160

***

[3]
# InBi2RhPb | the Alexandria database | PBE-GGA | relaxed
data_InBi2RhPb
_chemical_formula_sum 'In1 Bi2 Rh1 Pb1'
_cell_length_a 5.4178
_cell_length_b 5.4178
_cell_length_c 5.2551
_cell_angle_alpha 90.00
_cell_angle_beta 90.00
_cell_angle_gamma 90.00
_symmetry_space_group_name_H-M 'P 1'
_symmetry_Int_Tables_number 1
_symmetry_space_group_name_Hall 'P 1'
loop_
_atom_site_label
_atom_site_type_symbol
_atom_site_fract_x
_atom_site_fract_y
_atom_site_fract_z
In1 In 0.0000 0.0000 0.0000
Bi1 Bi 0.0000 0.5000 0.5000
Bi2 Bi 0.5000 0.0000 0.5000
Rh1 Rh 0.5000 0.5000 0.5000
Pb1 Pb 0.5000 0.5000 0.0000
# E_form, kJ/mol of atoms: 17.5
# Fermi-level density of states, states/eV/cell: 2.3
# Space group: P4/mmm, No. 123

***

[4]
# In3Bi7Pb4S18 | the Alexandria database | PBE-GGA | relaxed
data_In3Bi7Pb4S18
_chemical_formula_sum 'In6 Bi14 Pb8 S36'
_cell_length_a 18.8439
_cell_length_b 4.0053
_cell_length_c 21.7089
_cell_angle_alpha 90.00
_cell_angle_beta 98.06
_cell_angle_gamma 90.00
_symmetry_space_group_name_H-M 'P 1'
_symmetry_Int_Tables_number 1
_symmetry_space_group_name_Hall 'P 1'
loop_
_atom_site_label
_atom_site_type_symbol
_atom_site_fract_x
_atom_site_fract_y
_atom_site_fract_z
In1 In 0.0568 0.2500 0.0655
In2 In 0.1288 0.7500 0.2132
In3 In 0.2070 0.2500 0.3597
In4 In 0.7930 0.7500 0.6403
In5 In 0.8712 0.2500 0.7868
In6 In 0.9432 0.7500 0.9345
Bi1 Bi 0.0950 0.7500 0.5137
Bi2 Bi 0.2377 0.2500 0.7111
Bi3 Bi 0.2794 0.7500 0.0409
Bi4 Bi 0.3643 0.2500 0.8888
Bi5 Bi 0.4293 0.7500 0.7290
Bi6 Bi 0.4444 0.7500 0.4219
Bi7 Bi 0.4721 0.2500 0.0837
Bi8 Bi 0.5279 0.7500 0.9163
Bi9 Bi 0.5556 0.2500 0.5781
Bi10 Bi 0.5707 0.2500 0.2710
Bi11 Bi 0.6357 0.7500 0.1112
Bi12 Bi 0.7206 0.2500 0.9591
Bi13 Bi 0.7623 0.7500 0.2889
Bi14 Bi 0.9050 0.2500 0.4863
Pb1 Pb 0.0230 0.7500 0.6923
Pb2 Pb 0.1250 0.7500 0.8698
Pb3 Pb 0.3009 0.7500 0.5495
Pb4 Pb 0.3475 0.7500 0.2525
Pb5 Pb 0.6525 0.2500 0.7475
Pb6 Pb 0.6991 0.2500 0.4505
Pb7 Pb 0.8750 0.2500 0.1302
Pb8 Pb 0.9770 0.2500 0.3077
S1 S 0.0276 0.2500 0.5750
S2 S 0.0364 0.2500 0.1855
S3 S 0.0449 0.2500 0.9462
S4 S 0.1097 0.7500 0.3296
S5 S 0.1118 0.2500 0.7664
S6 S 0.1481 0.7500 0.0927
S7 S 0.1866 0.7500 0.6297
S8 S 0.1923 0.2500 0.4783
S9 S 0.2244 0.2500 0.2413
S10 S 0.2411 0.2500 0.9436
S11 S 0.3005 0.7500 0.3742
S12 S 0.3060 0.7500 0.7974
S13 S 0.3372 0.2500 0.1222
S14 S 0.3592 0.2500 0.6448
S15 S 0.4149 0.2500 0.5010
S16 S 0.4177 0.7500 0.9970
S17 S 0.4445 0.2500 0.3225
S18 S 0.4865 0.2500 0.8096
S19 S 0.5135 0.7500 0.1904
S20 S 0.5555 0.7500 0.6775
S21 S 0.5823 0.2500 0.0030
S22 S 0.5851 0.7500 0.4990
S23 S 0.6408 0.7500 0.3552
S24 S 0.6628 0.7500 0.8778
S25 S 0.6940 0.2500 0.2026
S26 S 0.6995 0.2500 0.6258
S27 S 0.7589 0.7500 0.0564
S28 S 0.7756 0.7500 0.7587
S29 S 0.8077 0.7500 0.5217
S30 S 0.8134 0.2500 0.3703
S31 S 0.8519 0.2500 0.9073
S32 S 0.8882 0.7500 0.2336
S33 S 0.8903 0.2500 0.6704
S34 S 0.9551 0.7500 0.0538
S35 S 0.9636 0.7500 0.8145
S36 S 0.9724 0.7500 0.4250
# Fermi-level density of states, states/eV/cell: 6.2
# Formation energy from raw total energies, eV/atom: -0.41
# Space group: P2_1/m, No. 11

***

[5]
# InBiPb2Se5 | the Alexandria database | PBE-GGA | relaxed
data_InBiPb2Se5
_chemical_formula_sum 'In2 Bi2 Pb4 Se10'
_cell_length_a 9.6183
_cell_length_b 9.6183
_cell_length_c 13.2837
_cell_angle_alpha 90.00
_cell_angle_beta 90.00
_cell_angle_gamma 154.78
_symmetry_space_group_name_H-M 'P 1'
_symmetry_Int_Tables_number 1
_symmetry_space_group_name_Hall 'P 1'
loop_
_atom_site_label
_atom_site_type_symbol
_atom_site_fract_x
_atom_site_fract_y
_atom_site_fract_z
In1 In 0.0503 0.9497 0.5000
In2 In 0.9497 0.0503 0.0000
Bi1 Bi 0.2931 0.7069 0.0885
Bi2 Bi 0.7069 0.2931 0.5885
Pb1 Pb 0.3734 0.6266 0.7361
Pb2 Pb 0.3740 0.6260 0.3815
Pb3 Pb 0.6260 0.3740 0.8815
Pb4 Pb 0.6266 0.3734 0.2361
Se1 Se 0.0186 0.9814 0.8331
Se2 Se 0.1416 0.8584 0.0773
Se3 Se 0.1846 0.8154 0.4304
Se4 Se 0.2137 0.7863 0.7430
Se5 Se 0.4586 0.5414 0.1195
Se6 Se 0.5414 0.4586 0.6195
Se7 Se 0.7863 0.2137 0.2430
Se8 Se 0.8154 0.1846 0.9304
Se9 Se 0.8584 0.1416 0.5773
Se10 Se 0.9814 0.0186 0.3331
# Formation energy from raw total energies, eV/atom: -0.49
# Space group: Cmc2_1, No. 36

***

[6]
# In2BiPbSe4 | the Alexandria database | PBE-GGA | relaxed
data_In2BiPbSe4
_chemical_formula_sum 'In2 Bi1 Pb1 Se4'
_cell_length_a 7.4831
_cell_length_b 4.2711
_cell_length_c 7.5258
_cell_angle_alpha 90.00
_cell_angle_beta 109.21
_cell_angle_gamma 90.00
_symmetry_space_group_name_H-M 'P 1'
_symmetry_Int_Tables_number 1
_symmetry_space_group_name_Hall 'P 1'
loop_
_atom_site_label
_atom_site_type_symbol
_atom_site_fract_x
_atom_site_fract_y
_atom_site_fract_z
In1 In 0.0000 0.0000 0.0000
In2 In 0.0000 0.5000 0.5000
Bi1 Bi 0.5000 0.0000 0.5000
Pb1 Pb 0.5000 0.5000 0.0000
Se1 Se 0.2478 0.0000 0.7385
Se2 Se 0.2553 0.5000 0.2606
Se3 Se 0.7447 0.5000 0.7394
Se4 Se 0.7522 0.0000 0.2615
# Fermi-level density of states, states/eV/cell: 4.0
# Formation energy from raw total energies, eV/atom: -0.42
# Space group: P2/m, No. 10

***

[7]
# InSiBi2Pb | the Alexandria database | PBE-GGA | relaxed
data_InSiBi2Pb
_chemical_formula_sum 'In1 Si1 Bi2 Pb1'
_cell_length_a 6.0279
_cell_length_b 6.0279
_cell_length_c 5.2086
_cell_angle_alpha 90.00
_cell_angle_beta 90.00
_cell_angle_gamma 90.00
_symmetry_space_group_name_H-M 'P 1'
_symmetry_Int_Tables_number 1
_symmetry_space_group_name_Hall 'P 1'
loop_
_atom_site_label
_atom_site_type_symbol
_atom_site_fract_x
_atom_site_fract_y
_atom_site_fract_z
In1 In 0.0000 0.0000 0.0000
Si1 Si 0.5000 0.5000 0.0000
Bi1 Bi 0.0000 0.5000 0.5000
Bi2 Bi 0.5000 0.0000 0.5000
Pb1 Pb 0.5000 0.5000 0.5000
# Fermi-level density of states, states/eV/cell: 4.8
# Formation energy from raw total energies, eV/atom: 0.89
# Space group: P4/mmm, No. 123

***

[8]
# InSnBiPb | the Alexandria database | PBE-GGA | relaxed
data_InSnBiPb
_chemical_formula_sum 'In1 Sn1 Bi1 Pb1'
_cell_length_a 5.7539
_cell_length_b 3.6520
_cell_length_c 5.8663
_cell_angle_alpha 90.00
_cell_angle_beta 103.75
_cell_angle_gamma 90.00
_symmetry_space_group_name_H-M 'P 1'
_symmetry_Int_Tables_number 1
_symmetry_space_group_name_Hall 'P 1'
loop_
_atom_site_label
_atom_site_type_symbol
_atom_site_fract_x
_atom_site_fract_y
_atom_site_fract_z
In1 In 0.0000 0.0000 0.0000
Sn1 Sn 0.9986 0.5000 0.5001
Bi1 Bi 0.5006 0.5000 0.0019
Pb1 Pb 0.4988 0.0000 0.5014
# E_form, kJ/mol of atoms: 5.0
# Fermi-level density of states, states/eV/cell: 2.3
# Space group: Pm, No. 6

***

[9]
# In3SnBiPb | the Alexandria database | PBE-GGA | relaxed
data_In3SnBiPb
_chemical_formula_sum 'In6 Sn2 Bi2 Pb2'
_cell_length_a 8.1162
_cell_length_b 4.4583
_cell_length_c 10.3249
_cell_angle_alpha 90.00
_cell_angle_beta 111.03
_cell_angle_gamma 90.00
_symmetry_space_group_name_H-M 'P 1'
_symmetry_Int_Tables_number 1
_symmetry_space_group_name_Hall 'P 1'
loop_
_atom_site_label
_atom_site_type_symbol
_atom_site_fract_x
_atom_site_fract_y
_atom_site_fract_z
In1 In 0.1622 0.2500 0.0430
In2 In 0.1656 0.2500 0.5383
In3 In 0.1858 0.7500 0.2893
In4 In 0.8142 0.2500 0.7107
In5 In 0.8344 0.7500 0.4617
In6 In 0.8378 0.7500 0.9570
Sn1 Sn 0.4800 0.7500 0.6085
Sn2 Sn 0.5200 0.2500 0.3915
Bi1 Bi 0.1470 0.7500 0.7852
Bi2 Bi 0.8530 0.2500 0.2148
Pb1 Pb 0.4942 0.2500 0.8680
Pb2 Pb 0.5058 0.7500 0.1320
# E_form, kJ/mol of atoms: 3.2
# Fermi-level density of states, states/eV/cell: 4.6
# Space group: P2_1/m, No. 11

***

[10]
# In2SnBiPb | the Alexandria database | PBE-GGA | relaxed
data_In2SnBiPb
_chemical_formula_sum 'In4 Sn2 Bi2 Pb2'
_cell_length_a 7.9335
_cell_length_b 4.6505
_cell_length_c 7.9990
_cell_angle_alpha 90.00
_cell_angle_beta 90.12
_cell_angle_gamma 90.00
_symmetry_space_group_name_H-M 'P 1'
_symmetry_Int_Tables_number 1
_symmetry_space_group_name_Hall 'P 1'
loop_
_atom_site_label
_atom_site_type_symbol
_atom_site_fract_x
_atom_site_fract_y
_atom_site_fract_z
In1 In 0.1569 0.2500 0.4545
In2 In 0.2570 0.7500 0.7425
In3 In 0.7430 0.2500 0.2575
In4 In 0.8431 0.7500 0.5455
Sn1 Sn 0.4473 0.7500 0.3615
Sn2 Sn 0.5527 0.2500 0.6385
Bi1 Bi 0.3470 0.2500 0.0380
Bi2 Bi 0.6530 0.7500 0.9620
Pb1 Pb 0.0547 0.7500 0.1640
Pb2 Pb 0.9453 0.2500 0.8360
# E_form, kJ/mol of atoms: 3.1
# Fermi-level density of states, states/eV/cell: 4.5
# Space group: P2_1/m, No. 11

***

[11]
# In2SnBi2Pb2 | the Alexandria database | PBE-GGA | relaxed
data_In2SnBi2Pb2
_chemical_formula_sum 'In4 Sn2 Bi4 Pb4'
_cell_length_a 8.1044
_cell_length_b 5.4184
_cell_length_c 11.6315
_cell_angle_alpha 90.00
_cell_angle_beta 107.59
_cell_angle_gamma 90.00
_symmetry_space_group_name_H-M 'P 1'
_symmetry_Int_Tables_number 1
_symmetry_space_group_name_Hall 'P 1'
loop_
_atom_site_label
_atom_site_type_symbol
_atom_site_fract_x
_atom_site_fract_y
_atom_site_fract_z
In1 In 0.1987 0.0000 0.1072
In2 In 0.3013 0.5000 0.8928
In3 In 0.6987 0.5000 0.1072
In4 In 0.8013 0.0000 0.8928
Sn1 Sn 0.0000 0.5000 0.0000
Sn2 Sn 0.5000 0.0000 0.0000
Bi1 Bi 0.2255 0.5000 0.2849
Bi2 Bi 0.2745 0.0000 0.7151
Bi3 Bi 0.7255 0.0000 0.2849
Bi4 Bi 0.7745 0.5000 0.7151
Pb1 Pb 0.1322 0.0000 0.4021
Pb2 Pb 0.3678 0.5000 0.5979
Pb3 Pb 0.6322 0.5000 0.4021
Pb4 Pb 0.8678 0.0000 0.5979
# E_form, kJ/mol of atoms: 6.7
# Fermi-level density of states, states/eV/cell: 5.4
# Space group: C2/m, No. 12

***

[12]
# In5SnBi2Pb | the Alexandria database | PBE-GGA | relaxed
data_In5SnBi2Pb
_chemical_formula_sum 'In10 Sn2 Bi4 Pb2'
_cell_length_a 9.2687
_cell_length_b 9.2687
_cell_length_c 13.8957
_cell_angle_alpha 90.00
_cell_angle_beta 90.00
_cell_angle_gamma 152.61
_symmetry_space_group_name_H-M 'P 1'
_symmetry_Int_Tables_number 1
_symmetry_space_group_name_Hall 'P 1'
loop_
_atom_site_label
_atom_site_type_symbol
_atom_site_fract_x
_atom_site_fract_y
_atom_site_fract_z
In1 In 0.0086 0.9914 0.5000
In2 In 0.2127 0.7873 0.2399
In3 In 0.3938 0.6062 0.1278
In4 In 0.3995 0.6005 0.8852
In5 In 0.4064 0.5936 0.6047
In6 In 0.5936 0.4064 0.1047
In7 In 0.6005 0.3995 0.3852
In8 In 0.6062 0.3938 0.6278
In9 In 0.7873 0.2127 0.7399
In10 In 0.9914 0.0086 0.0000
Sn1 Sn 0.2329 0.7671 0.9036
Sn2 Sn 0.7671 0.2329 0.4036
Bi1 Bi 0.0216 0.9784 0.2473
Bi2 Bi 0.2374 0.7626 0.5621
Bi3 Bi 0.7626 0.2374 0.0621
Bi4 Bi 0.9784 0.0216 0.7473
Pb1 Pb 0.4003 0.5997 0.3650
Pb2 Pb 0.5997 0.4003 0.8650
# E_form, kJ/mol of atoms: 4.3
# Fermi-level density of states, states/eV/cell: 9.8
# Space group: Cmc2_1, No. 36

***

| no. | total moment (μB/f.u.) | calculated density (Mg/m³) |
| --- | --- | --- |
| 1 | 0.0 | 6.71 |
| 2 | 0.0 | 6.11 |
| 3 | 0.0 | 9.07 |
| 4 | 0.0 | 6.58 |
| 5 | 0.0 | 7.19 |
| 6 | 0.0 | 7.03 |
| 7 | 0.0 | 6.74 |
| 8 | 0.0 | 9.01 |
| 9 | 0.0 | 8.37 |
| 10 | 0.0 | 8.60 |
| 11 | 0.0 | 8.05 |
| 12 | 0.0 | 7.97 |